No. 1
# PBE Li2AlP2Pd5, optimized geometry
data_Li2AlP2Pd5
_chemical_formula_sum 'Li4 Al2 P4 Pd10'
_cell_length_a 9.729
_cell_length_b 9.729
_cell_length_c 3.262
_cell_angle_alpha 90.00
_cell_angle_beta 90.00
_cell_angle_gamma 90.00
_space_group_name_H-M_alt 'P 4/m b m'
_space_group_IT_number 127
_space_group_name_Hall '-P 4 2ab'
loop_
_atom_site_label
_atom_site_type_symbol
_atom_site_fract_x
_atom_site_fract_y
_atom_site_fract_z
Li1 Li 0.173 0.327 0.000
Al1 Al 0.000 0.000 0.000
P1 P 0.131 0.631 0.000
Pd1 Pd 0.000 0.500 0.500
Pd2 Pd 0.064 0.797 0.500
# Density of states at the Fermi level ... 5.67 states/eV/cell
# E_tot ... -50.23 eV/f.u.
# Formation energy from the elements ... -5.9 eV/f.u.

=====

No. 2
# PBE MnCuPdAu2, optimized geometry
data_MnCuPdAu2
_chemical_formula_sum 'Mn1 Cu1 Pd1 Au2'
_cell_length_a 4.714
_cell_length_b 4.714
_cell_length_c 4.649
_cell_angle_alpha 90.00
_cell_angle_beta 90.00
_cell_angle_gamma 90.00
_space_group_name_H-M_alt 'P 4/m m m'
_space_group_IT_number 123
_space_group_name_Hall '-P 4 2'
loop_
_atom_site_label
_atom_site_type_symbol
_atom_site_fract_x
_atom_site_fract_y
_atom_site_fract_z
Mn1 Mn 0.000 0.000 0.000
Cu1 Cu 0.500 0.500 0.500
Pd1 Pd 0.500 0.500 0.000
Au1 Au 0.000 0.500 0.500
# Density of states at the Fermi level ... 2.37 states/eV/cell
# E_tot ... -21.75 eV/f.u.
# Formation energy from the elements ... 3.3 eV/f.u.

=====

No. 3
# PBE NaBi2RhO6, optimized geometry
data_NaBi2RhO6
_chemical_formula_sum 'Na3 Bi6 Rh3 O18'
_cell_length_a 5.6759
_cell_length_b 5.6759
_cell_length_c 15.2980
_cell_angle_alpha 90.00
_cell_angle_beta 90.00
_cell_angle_gamma 120.00
_space_group_name_H-M_alt 'R 3'
_space_group_IT_number 146
_space_group_name_Hall 'R 3'
loop_
_atom_site_label
_atom_site_type_symbol
_atom_site_fract_x
_atom_site_fract_y
_atom_site_fract_z
Na1 Na 0.0000 0.0000 0.0000
Bi1 Bi 0.0000 0.0000 0.2126
Bi2 Bi 0.0000 0.0000 0.7281
Rh1 Rh 0.0000 0.0000 0.5245
O1 O 0.0486 0.3407 0.1214
O2 O 0.0565 0.6692 0.2731
# Density of states at the Fermi level ... 4.79 states/eV/cell
# Raw formation energy ... -1.122 eV per atom
# E_tot ... -57.40 eV/f.u.

=====

No. 4
# PBE CeSm2NpSb4, optimized geometry
data_CeSm2NpSb4
_chemical_formula_sum 'Ce1 Sm2 Np1 Sb4'
_cell_length_a 7.709
_cell_length_b 4.452
_cell_length_c 7.754
_cell_angle_alpha 90.00
_cell_angle_beta 109.38
_cell_angle_gamma 90.00
_space_group_name_H-M_alt 'P 1 2/m 1'
_space_group_IT_number 10
loop_
_space_group_symop_operation_xyz
'x,y,z'
'-x,-y,-z'
'-x,y,-z'
'x,-y,z'
loop_
_atom_site_label
_atom_site_type_symbol
_atom_site_fract_x
_atom_site_fract_y
_atom_site_fract_z
Ce1 Ce 0.000 0.000 0.000
Sm1 Sm 0.000 0.500 0.500
Sm2 Sm 0.500 0.000 0.500
Np1 Np 0.500 0.500 0.000
Sb1 Sb 0.252 0.500 0.248
Sb2 Sb 0.254 0.000 0.753
# Density of states at the Fermi level ... 17.25 states/eV/cell
# Raw formation energy ... -0.896 eV per atom
# E_tot ... -51.97 eV/f.u.

=====

No. 5
# PBE NpMnV2, optimized geometry
data_NpMnV2
_chemical_formula_sum 'Np1 Mn1 V2'
_cell_length_a 2.790
_cell_length_b 2.790
_cell_length_c 7.306
_cell_angle_alpha 90.00
_cell_angle_beta 90.00
_cell_angle_gamma 90.00
_space_group_name_H-M_alt 'P 4/m m m'
_space_group_IT_number 123
_space_group_name_Hall '-P 4 2'
loop_
_atom_site_label
_atom_site_type_symbol
_atom_site_fract_x
_atom_site_fract_y
_atom_site_fract_z
Np1 Np 0.000 0.000 0.000
Mn1 Mn 0.000 0.000 0.500
V1 V 0.500 0.500 0.300
# Density of states at the Fermi level ... 6.87 states/eV/cell
# E_tot ... -39.86 eV/f.u.
# Formation energy from the elements ... 0.5 eV/f.u.

=====

No. 6
# PBE La2YCd6, optimized geometry
data_La2YCd6
_chemical_formula_sum 'La2 Y1 Cd6'
_cell_length_a 8.8260
_cell_length_b 8.8260
_cell_length_c 3.4934
_cell_angle_alpha 90.00
_cell_angle_beta 90.00
_cell_angle_gamma 120.00
_space_group_name_H-M_alt 'P 6/m m m'
_space_group_IT_number 191
_space_group_name_Hall '-P 6 2'
loop_
_atom_site_label
_atom_site_type_symbol
_atom_site_fract_x
_atom_site_fract_y
_atom_site_fract_z
La1 La 0.3333 0.6667 0.0000
Y1 Y 0.0000 0.0000 0.0000
Cd1 Cd 0.0000 0.3284 0.5000
# Density of states at the Fermi level ... 7.81 states/eV/cell
# E_tot ... -25.00 eV/f.u.
# Formation energy from the elements ... -3.2 eV/f.u.